SmZnGe2Pd5 | PBE | optimized geometry

a = 4.2430 Å, b = 4.2430 Å, c = 8.9829 Å
α = 90.00°, β = 90.00°, γ = 90.00°
With the nearest neighbours (Å) after each atom.
Positions (direct):
Sm1 0.0000 0.0000 0.0000  12 Pd 2.98-3.00
Zn1 0.0000 0.0000 0.5000  8 Pd 3.20, 8 Ge 3.23
Ge1 0.5000 0.5000 0.3682  1 Ge 2.37, 4 Pd 2.44
Ge2 0.5000 0.5000 0.6318  1 Ge 2.37, 4 Pd 2.44
Pd1 0.0000 0.5000 0.2333  2 Ge 2.44
Pd2 0.0000 0.5000 0.7667  2 Ge 2.44
Pd3 0.5000 0.0000 0.2333  2 Ge 2.44
Pd4 0.5000 0.0000 0.7667  2 Ge 2.44
Pd5 0.5000 0.5000 0.0000  8 Pd 2.98, 4 Sm 3.00, 2 Ge 3.31

The formation energy from the elements is -0.472 eV per atom. The density comes out at 9.171 g/cm3. As for the volume: 161.7 Å³ per cell.


SnGePd | PBE | optimized geometry

a = 4.4735 Å, b = 4.4735 Å, c = 4.4735 Å
α = 60.00°, β = 60.00°, γ = 60.00°
With the nearest neighbours (Å) after each atom.
Positions (direct):
Sn1 0.0000 0.0000 0.0000  4 Pd 2.74
Ge1 0.5000 0.5000 0.5000  4 Pd 2.74
Pd1 0.7500 0.7500 0.7500  4 Ge 2.74, 4 Sn 2.74

The formation energy from the elements is -0.280 eV per atom. The density comes out at 7.811 g/cm3. As for the volume: 63.3 Å³ per cell.


Sn2Ge2Pd | PBE | optimized geometry

a = 7.1373 Å, b = 7.1373 Å, c = 4.5174 Å
α = 90.00°, β = 90.00°, γ = 90.00°
With the nearest neighbours (Å) after each atom.
Positions (direct):
Sn1 0.1612 0.3388 0.0000  2 Pd 2.68
Sn2 0.3388 0.8388 0.0000  2 Pd 2.68
Sn3 0.6612 0.1612 0.0000  2 Pd 2.68
Sn4 0.8388 0.6612 0.0000  2 Pd 2.68
Ge1 0.1366 0.6366 0.5000  1 Ge 2.76, 2 Sn 3.04
Ge2 0.3634 0.1366 0.5000  1 Ge 2.76, 2 Sn 3.04
Ge3 0.6366 0.8634 0.5000  1 Ge 2.76, 2 Sn 3.04
Ge4 0.8634 0.3634 0.5000  1 Ge 2.76, 2 Sn 3.04
Pd1 0.0000 0.0000 0.0000  4 Sn 2.68
Pd2 0.5000 0.5000 0.0000  4 Sn 2.68

The calculation puts the energy above the lowest structure with this stoichiometry at 0.135 eV/atom. The formation energy from the elements is 0.111 eV per atom. The density comes out at 7.059 g/cm3. As for the volume: 230.1 Å³ per cell.


SnGe2Pd7 | PBE | optimized geometry

a = 7.0514 Å, b = 7.0514 Å, c = 4.4266 Å
α = 90.00°, β = 90.00°, γ = 116.78°
With the nearest neighbours (Å) after each atom.
Positions (direct):
Sn1 0.0000 0.0000 0.0000  10 Pd 2.67-2.98
Ge1 0.3018 0.6982 0.5000  7 Pd 2.38-2.59
Ge2 0.6982 0.3018 0.5000  7 Pd 2.38-2.59
Pd1 0.0676 0.3068 0.5000  2 Ge 2.50-2.59, 2 Pd 2.72-2.77
Pd2 0.2225 0.7775 0.0000  2 Ge 2.41, 1 Sn 2.67
Pd3 0.3068 0.0676 0.5000  2 Ge 2.50-2.59, 2 Pd 2.72-2.77
Pd4 0.5000 0.5000 0.5000  2 Ge 2.38
Pd5 0.6932 0.9324 0.5000  2 Ge 2.50-2.59, 2 Pd 2.72-2.77
Pd6 0.7775 0.2225 0.0000  2 Ge 2.41, 1 Sn 2.67
Pd7 0.9324 0.6932 0.5000  2 Ge 2.50-2.59, 2 Pd 2.72-2.77

The calculation puts the energy above the lowest structure with this stoichiometry at 0.335 eV/atom. The formation energy from the elements is -0.159 eV per atom. The density comes out at 8.526 g/cm3. As for the volume: 196.5 Å³ per cell.


Q: Number 4 is which compound?
A: SnGe2Pd7